A plane-wave DFT calculation with PBE was carried out for an optimized crystal structure of CrHgAs2.

Cell: 2.817 3.237 18.852 Å, 90.00 90.00 90.00°
Sites, in units of the cell vectors:
Cr  0.000  0.000  0.000
Cr  0.500  0.500  0.500
Hg  0.000  0.500  0.730
Hg  0.500  0.000  0.230
As  0.000  0.000  0.569
As  0.000  0.500  0.391
As  0.500  0.000  0.891
As  0.500  0.500  0.069

Calculated values
The crystal system is orthorhombic. As for the formation energy: 0.134 eV per atom. Its volume is 21.49 A^3/atom.


A plane-wave DFT calculation with PBE was carried out for an optimized crystal structure of HOsS2.

Cell: 5.733 5.733 5.733 Å, 90.00 90.00 90.00°
Sites, in units of the cell vectors:
H  0.000  0.000  0.000
H  0.000  0.500  0.500
H  0.500  0.000  0.500
H  0.500  0.500  0.000
Os  0.000  0.000  0.500
Os  0.000  0.500  0.000
Os  0.500  0.000  0.000
Os  0.500  0.500  0.500
S  0.250  0.250  0.250
S  0.250  0.250  0.750
S  0.250  0.750  0.250
S  0.250  0.750  0.750
S  0.750  0.250  0.250
S  0.750  0.250  0.750
S  0.750  0.750  0.250
S  0.750  0.750  0.750

Calculated values
The crystal system is cubic. As for the energy above the most stable polymorph in this dataset: 0.565 eV/atom. Its volume is 11.78 A^3/atom.


A plane-wave DFT calculation with PBE was carried out for an optimized crystal structure of Zr3TeS.

Cell: 4.853 4.853 4.853 Å, 90.00 90.00 90.00°
Sites, in units of the cell vectors:
Zr  0.000  0.000  0.500
Zr  0.000  0.500  0.000
Zr  0.500  0.000  0.000
Te  0.500  0.500  0.500
S  0.000  0.000  0.000

Calculated values
The crystal system is cubic. The formation energy from raw total energies comes out at -452 meV per atom. As for the energy above the most stable polymorph in this dataset: 0.000 eV/atom. Its volume is 22.87 A^3/atom.


A plane-wave DFT calculation with PBE was carried out for an optimized crystal structure of Tc2IrOs.

Cell: 3.877 3.877 7.698 Å, 90.00 90.00 90.00°
Sites, in units of the cell vectors:
Tc  0.000  0.000  0.000
Tc  0.000  0.500  0.250
Tc  0.500  0.000  0.750
Tc  0.500  0.500  0.500
Ir  0.000  0.000  0.500
Ir  0.500  0.500  0.000
Os  0.000  0.500  0.750
Os  0.500  0.000  0.250

Calculated values
The crystal system is tetragonal. As for the formation energy: -0.052 eV per atom. As for the energy above the most stable polymorph in this dataset: 0.137 eV/atom. Its volume is 14.46 A^3/atom.


A plane-wave DFT calculation with PBE was carried out for an optimized crystal structure of MnFe2Cu.

Cell: 8.375 2.433 4.505 Å, 90.00 97.24 90.00°
Sites, in units of the cell vectors:
Mn  0.000  0.000  0.000
Mn  0.500  0.500  0.000
Fe  0.003  0.500  0.498
Fe  0.250  0.500  0.237
Fe  0.503  0.000  0.498
Fe  0.750  0.000  0.237
Cu  0.253  0.000  0.740
Cu  0.753  0.500  0.740

Calculated values
The crystal system is monoclinic. As for the formation energy: 0.216 eV per atom. Its volume is 11.38 A^3/atom.


A plane-wave DFT calculation with PBE was carried out for an optimized crystal structure of Rb2CaBe2S4.

Cell: 7.699 7.699 7.837 Å, 109.91 109.91 28.78°
Sites, in units of the cell vectors:
Rb  0.129  0.129  0.040
Rb  0.871  0.871  0.960
Ca  0.000  0.000  0.500
Be  0.324  0.324  0.533
Be  0.676  0.676  0.467
S  0.208  0.208  0.637
S  0.462  0.462  0.720
S  0.538  0.538  0.280
S  0.792  0.792  0.363

Calculated values
The crystal system is monoclinic. The formation energy from raw total energies comes out at -1305 meV per atom. Its volume is 23.26 A^3/atom.


A plane-wave DFT calculation with PBE was carried out for an optimized crystal structure of NaTiSe3.

Cell: 4.810 7.927 8.038 Å, 103.00 90.11 107.62°
Sites, in units of the cell vectors:
Na  0.135  0.268  0.335
Na  0.865  0.732  0.665
Ti  0.341  0.685  0.139
Ti  0.659  0.315  0.861
Se  0.174  0.345  0.976
Se  0.347  0.697  0.427
Se  0.488  0.978  0.847
Se  0.512  0.022  0.153
Se  0.653  0.303  0.573
Se  0.826  0.655  0.024

Calculated values
The crystal system is triclinic. The formation energy from raw total energies comes out at -944 meV per atom. As for the energy above the most stable polymorph in this dataset: 0.000 eV/atom. Its volume is 28.38 A^3/atom.


A plane-wave DFT calculation with PBE was carried out for an optimized crystal structure of SrNi2P.

Cell: 3.988 5.650 7.153 Å, 90.00 90.00 90.00°
Sites, in units of the cell vectors:
Sr  0.000  0.000  0.000
Sr  0.500  0.500  0.500
Ni  0.000  0.000  0.442
Ni  0.000  0.500  0.137
Ni  0.500  0.000  0.637
Ni  0.500  0.500  0.942
P  0.000  0.500  0.827
P  0.500  0.000  0.327

Calculated values
The crystal system is orthorhombic. As for the formation energy: -0.155 eV per atom. Its volume is 20.15 A^3/atom.


A plane-wave DFT calculation with PBE was carried out for an optimized crystal structure of BeNb3Si2.

Cell: 10.183 3.583 9.767 Å, 90.00 90.00 90.00°
Sites, in units of the cell vectors:
Be  0.129  0.250  0.123
Be  0.371  0.750  0.623
Be  0.629  0.250  0.377
Be  0.871  0.750  0.877
Nb  0.047  0.250  0.377
Nb  0.119  0.750  0.933
Nb  0.210  0.250  0.705
Nb  0.290  0.750  0.205
Nb  0.381  0.250  0.433
Nb  0.453  0.750  0.877
Nb  0.547  0.250  0.123
Nb  0.619  0.750  0.567
Nb  0.710  0.250  0.795
Nb  0.790  0.750  0.295
Nb  0.881  0.250  0.067
Nb  0.953  0.750  0.623
Si  0.027  0.750  0.187
Si  0.194  0.750  0.497
Si  0.306  0.250  0.997
Si  0.473  0.250  0.687
Si  0.527  0.750  0.313
Si  0.694  0.750  0.003
Si  0.806  0.250  0.503
Si  0.973  0.250  0.813

Calculated values
The crystal system is orthorhombic. The formation energy from raw total energies comes out at -594 meV per atom. Its volume is 14.85 A^3/atom.


A plane-wave DFT calculation with PBE was carried out for an optimized crystal structure of In3Pb2Au4.

Cell: 9.508 9.508 7.378 Å, 90.00 90.00 140.19°
Sites, in units of the cell vectors:
In  0.000  0.000  0.000
In  0.009  0.491  0.250
In  0.491  0.009  0.750
In  0.500  0.500  0.500
In  0.509  0.991  0.250
In  0.991  0.509  0.750
Pb  0.087  0.913  0.396
Pb  0.413  0.587  0.896
Pb  0.587  0.413  0.104
Pb  0.913  0.087  0.604
Au  0.167  0.833  0.021
Au  0.172  0.328  0.250
Au  0.328  0.172  0.750
Au  0.333  0.667  0.521
Au  0.667  0.333  0.479
Au  0.672  0.828  0.250
Au  0.828  0.672  0.750
Au  0.833  0.167  0.979

Calculated values
The crystal system is orthorhombic. As for the formation energy: -0.139 eV per atom. Its volume is 23.72 A^3/atom.


A plane-wave DFT calculation with PBE was carried out for an optimized crystal structure of SnBi4Pb3.

Cell: 9.458 8.133 9.132 Å, 90.00 90.00 90.00°
Sites, in units of the cell vectors:
Sn  0.000  0.170  0.000
Sn  0.500  0.830  0.500
Bi  0.000  0.174  0.337
Bi  0.000  0.837  0.868
Bi  0.250  0.340  0.875
Bi  0.250  0.660  0.375
Bi  0.500  0.163  0.368
Bi  0.500  0.826  0.837
Bi  0.750  0.340  0.875
Bi  0.750  0.660  0.375
Pb  0.000  0.851  0.514
Pb  0.244  0.319  0.522
Pb  0.256  0.681  0.022
Pb  0.500  0.149  0.014
Pb  0.744  0.681  0.022
Pb  0.756  0.319  0.522

Calculated values
The crystal system is orthorhombic. As for the formation energy: 0.162 eV per atom. As for the energy above the most stable polymorph in this dataset: 0.116 eV/atom. Its volume is 43.90 A^3/atom.


A plane-wave DFT calculation with PBE was carried out for an optimized crystal structure of Nd5Ir2Se2.

Cell: 8.621 8.621 7.900 Å, 90.00 90.00 54.68°
Sites, in units of the cell vectors:
Nd  0.000  0.000  0.000
Nd  0.037  0.712  0.658
Nd  0.212  0.537  0.158
Nd  0.288  0.963  0.658
Nd  0.463  0.788  0.158
Nd  0.500  0.500  0.500
Nd  0.537  0.212  0.842
Nd  0.712  0.037  0.342
Nd  0.788  0.463  0.842
Nd  0.963  0.288  0.342
Ir  0.138  0.862  0.363
Ir  0.362  0.638  0.863
Ir  0.638  0.362  0.137
Ir  0.862  0.138  0.637
Se  0.204  0.204  0.000
Se  0.296  0.296  0.500
Se  0.704  0.704  0.500
Se  0.796  0.796  0.000

Calculated values
The crystal system is orthorhombic. The formation energy from raw total energies comes out at -1105 meV per atom. Its volume is 26.62 A^3/atom.


| no. | calculated total energy (eV/atom) |
| --- | --- |
| 1 | -4.67 |
| 2 | -5.18 |
| 3 | -7.03 |
| 4 | -10.26 |
| 5 | -7.33 |
| 6 | -4.41 |
| 7 | -4.88 |
| 8 | -4.82 |
| 9 | -8.06 |
| 10 | -3.33 |
| 11 | -3.67 |
| 12 | -6.50 |